[1]
Material: ReOs3
Method: DFT, GGA-PBE
State: relaxed

Structure (CIF):
```
data_ReOs3
_cell_length_a 3.280
_cell_length_b 3.280
_cell_length_c 11.142
_cell_angle_alpha 90.00
_cell_angle_beta 90.00
_cell_angle_gamma 90.00
_space_group_name_H-M_alt 'P 4/n m m'
_space_group_IT_number 129
loop_
_space_group_symop_operation_xyz
'x,y,z'
'-x,-y,-z'
'-y+1/2,x,z'
'y+1/2,-x,-z'
'-x+1/2,-y+1/2,z'
'x+1/2,y+1/2,-z'
'y,-x+1/2,z'
'-y,x+1/2,-z'
'x+1/2,-y,-z'
'-x+1/2,y,z'
'-y,-x,-z'
'y,x,z'
'-x,y+1/2,-z'
'x,-y+1/2,z'
'y+1/2,x+1/2,-z'
'-y+1/2,-x+1/2,z'
loop_
_atom_site_label
_atom_site_type_symbol
_atom_site_fract_x
_atom_site_fract_y
_atom_site_fract_z
Re1 Re 0.250 0.250 0.066
Os1 Os 0.250 0.250 0.311
Os2 Os 0.250 0.250 0.565
Os3 Os 0.250 0.250 0.806
```

## Properties
Energy relative to the lowest polymorph listed for this composition   0.722 eV/atom
Total magnetization   0.36 μB/atom

***

[2]
Material: Zr3ScSb2
Method: DFT, GGA-PBE
State: relaxed

Structure (CIF):
```
data_Zr3ScSb2
_cell_length_a 17.291
_cell_length_b 3.912
_cell_length_c 9.126
_cell_angle_alpha 90.00
_cell_angle_beta 114.92
_cell_angle_gamma 90.00
_space_group_name_H-M_alt 'C 1 2/m 1'
_space_group_IT_number 12
loop_
_space_group_symop_operation_xyz
'x,y,z'
'-x,-y,-z'
'-x,y,-z'
'x,-y,z'
'x+1/2,y+1/2,z'
'-x+1/2,-y+1/2,-z'
'-x+1/2,y+1/2,-z'
'x+1/2,-y+1/2,z'
loop_
_atom_site_label
_atom_site_type_symbol
_atom_site_fract_x
_atom_site_fract_y
_atom_site_fract_z
Zr1 Zr 0.056 0.000 0.159
Zr2 Zr 0.149 0.500 0.976
Zr3 Zr 0.185 0.500 0.397
Sc1 Sc 0.111 0.000 0.614
Sb1 Sb 0.006 0.500 0.336
Sb2 Sb 0.250 0.000 0.229
```

## Properties
Raw formation energy   -0.557 eV per atom
Total magnetization   0.00 μB/atom

***

[3]
Material: La3HfAl
Method: DFT, GGA-PBE
State: relaxed

Structure (CIF):
```
data_La3HfAl
_cell_length_a 5.731
_cell_length_b 5.731
_cell_length_c 5.731
_cell_angle_alpha 90.00
_cell_angle_beta 90.00
_cell_angle_gamma 90.00
_space_group_name_H-M_alt 'P m -3 m'
_space_group_IT_number 221
_space_group_name_Hall '-P 4 2 3'
loop_
_atom_site_label
_atom_site_type_symbol
_atom_site_fract_x
_atom_site_fract_y
_atom_site_fract_z
La1 La 0.000 0.000 0.500
Hf1 Hf 0.500 0.500 0.500
Al1 Al 0.000 0.000 0.000
```

## Properties
Energy relative to the lowest polymorph listed for this composition   0.106 eV/atom
Total magnetization   0.64 μB/atom

***

How do the records compare in DOS(E_F)? In the order shown, they have 1.40, 0.91, 2.48 states/eV per atom.